A plane-wave DFT calculation with PBE-GGA was carried out for Hf2ZrTa after structural relaxation.

a b c (Å): 4.9218 4.9218 4.9218
angles (deg): 60.00 60.00 60.00
Closest atoms and distances in Å follow each position.
Fractional positions:
1 Hf 0.0000 0.0000 0.0000  4 Zr 3.01, 4 Hf 3.01
2 Hf 0.2500 0.2500 0.2500  4 Ta 3.01, 4 Hf 3.01
3 Ta 0.5000 0.5000 0.5000  4 Zr 3.01, 4 Hf 3.01
4 Zr 0.7500 0.7500 0.7500  4 Ta 3.01, 4 Hf 3.01

Summary:
SG = F-43m
ΔE_f = 0.173 eV per atom

A plane-wave DFT calculation with PBE-GGA was carried out for TbHf2 after structural relaxation.

a b c (Å): 7.7648 7.7648 7.7648
angles (deg): 156.32 156.32 33.74
Closest atoms and distances in Å follow each position.
Fractional positions:
1 Hf 0.3198 0.3198 0.0000  8 Hf 3.06-3.19
2 Hf 0.6802 0.6802 0.0000  8 Hf 3.06-3.19
3 Tb 0.0000 0.0000 0.0000  4 Tb 3.19, 8 Hf 3.50

Summary:
SG = I4/mmm
ΔE_f = 0.126 eV per atom

A plane-wave DFT calculation with PBE-GGA was carried out for Tb2Hf after structural relaxation.

a b c (Å): 6.2020 6.2020 6.2020
angles (deg): 60.00 60.00 60.00
Closest atoms and distances in Å follow each position.
Fractional positions:
1 Hf 0.0000 0.0000 0.0000  12 Tb 3.64, 4 Hf 3.80
2 Hf 0.2500 0.2500 0.2500  12 Tb 3.64, 4 Hf 3.80
3 Tb 0.1250 0.6250 0.6250  6 Tb 3.10
4 Tb 0.6250 0.1250 0.6250  6 Tb 3.10
5 Tb 0.6250 0.6250 0.6250  6 Tb 3.10
6 Tb 0.6250 0.6250 0.1250  6 Tb 3.10

Summary:
SG = Fd-3m
ΔE_f = 0.622 eV per atom

A plane-wave DFT calculation with PBE-GGA was carried out for TbHf2 after structural relaxation.

a b c (Å): 6.0602 6.0602 6.0602
angles (deg): 60.00 60.00 60.00
Closest atoms and distances in Å follow each position.
Fractional positions:
1 Hf 0.1250 0.6250 0.6250  6 Hf 3.03
2 Hf 0.6250 0.6250 0.1250  6 Hf 3.03
3 Hf 0.6250 0.1250 0.6250  6 Hf 3.03
4 Hf 0.6250 0.6250 0.6250  6 Hf 3.03
5 Tb 0.0000 0.0000 0.0000  12 Hf 3.55, 4 Tb 3.71
6 Tb 0.2500 0.2500 0.2500  12 Hf 3.55, 4 Tb 3.71

Summary:
SG = Fd-3m
ΔE_f = 0.334 eV per atom

Q: Which of these has the highest ΔE_f?
A: Tb2Hf

Q: Look up the ΔE_f of the first one.
A: 0.173 eV per atom